Record 1
9
Lattice="6.8430 -2.8097 0.0000 6.8430 2.8097 0.0000 -1.9081 0.0000 7.3541" Properties=species:S:1:pos:R:3 comment="Sr5Bi2H2 | Alexandria via LeMat-Bulk | PBE-GGA | optimized geometry" rho_g_cm3=5.04 total_energy_ev_per_atom=-3.10 pbc="T T T"
Sr 0.0000 0.0000 0.0000
Sr 1.0353 0.0000 3.9733
Sr 4.3454 0.0000 0.8670
Sr 7.4324 0.0000 6.4871
Sr 10.7425 0.0000 3.3807
Bi 4.2295 0.0000 5.2154
Bi 7.5484 0.0000 2.1387
H 0.5130 0.0000 6.4997
H 11.2649 0.0000 0.8543



Record 2
8
Lattice="2.6257 1.5160 8.9350 -2.6257 1.5160 8.9350 0.0000 -3.0319 8.9350" Properties=species:S:1:pos:R:3 comment="LiPrTm2Tl4 | Alexandria via LeMat-Bulk | PBE-GGA | optimized geometry" rho_g_cm3=10.14 formation_energy_ev_per_fu=-2.47 total_energy_ev_per_atom=-3.45 pbc="T T T"
Li 0.0000 0.0000 0.0000
Pr 0.0000 0.0000 13.4024
Tm 0.0000 0.0000 6.8236
Tm 0.0000 0.0000 19.9813
Tl 0.0000 0.0000 3.2072
Tl 0.0000 0.0000 9.9486
Tl 0.0000 0.0000 16.8563
Tl 0.0000 0.0000 23.5977



Record 3
4
Lattice="2.7492 -4.9044 0.0000 2.7492 4.9044 0.0000 0.0000 0.0000 2.9390" Properties=species:S:1:pos:R:3 comment="LaTa2Os | Alexandria via LeMat-Bulk | PBE-GGA | optimized geometry" e_above_lowest_polymorph_mev_per_atom=536 rho_g_cm3=14.48 formation_energy_ev_per_fu=2.50 total_energy_ev_per_atom=-9.34 pbc="T T T"
La 0.0000 0.0000 0.0000
Ta 1.3746 2.4522 1.4695
Ta 1.3746 -2.4522 1.4695
Os 2.7492 0.0000 0.0000



Record 4
4
Lattice="0.0000 3.4692 3.4692 3.4692 0.0000 3.4692 3.4692 3.4692 0.0000" Properties=species:S:1:pos:R:3 comment="AlPdBr2 | Alexandria via LeMat-Bulk | PBE-GGA | optimized geometry" e_above_lowest_polymorph_mev_per_atom=131 e_form_raw_ev_per_atom=0.1163 rho_g_cm3=5.83 total_energy_ev_per_atom=-2.95 pbc="T T T"
Al 0.0000 0.0000 0.0000
Pd 3.4692 3.4692 3.4692
Br 1.7346 1.7346 1.7346
Br 5.2038 5.2038 5.2038



Record 5
4
Lattice="0.0000 3.5625 3.5625 3.5625 0.0000 3.5625 3.5625 3.5625 0.0000" Properties=species:S:1:pos:R:3 comment="RbPt2Br | Alexandria via LeMat-Bulk | PBE-GGA | optimized geometry" e_above_lowest_polymorph_mev_per_atom=806 e_form_raw_ev_per_atom=0.8959 rho_g_cm3=10.20 total_energy_ev_per_atom=-2.78 pbc="T T T"
Rb 0.0000 0.0000 0.0000
Pt 1.7813 1.7813 1.7813
Pt 5.3438 5.3438 5.3438
Br 3.5625 3.5625 3.5625



Record 6
20
Lattice="4.5003 -7.2658 0.0000 4.5003 7.2658 0.0000 0.0000 0.0000 7.2631" Properties=species:S:1:pos:R:3 comment="Hf6InSn3 | Alexandria via LeMat-Bulk | PBE-GGA | optimized geometry" rho_g_cm3=10.78 formation_energy_ev_per_fu=-0.98 total_energy_ev_per_atom=-7.54 pbc="T T T"
Hf 2.5608 4.0647 3.5909
Hf 4.5003 6.5597 3.6316
Hf 2.7873 1.1123 5.0851
Hf 4.5003 3.4714 5.6965
Hf 2.7873 -1.1123 1.4535
Hf 6.4399 4.0647 3.5909
Hf 2.5608 -4.0647 7.2225
Hf 6.2134 1.1123 5.0851
Hf 4.5003 -3.4714 2.0649
Hf 6.2134 -1.1123 1.4535
Hf 4.5003 -6.5597 0.0000
Hf 6.4399 -4.0647 7.2225
In 4.5003 4.7505 1.2676
In 4.5003 -4.7505 4.8992
Sn 1.8196 1.4514 2.3532
Sn 1.8196 -1.4514 5.9848
Sn 4.5003 1.2303 0.3647
Sn 4.5003 -1.2303 3.9963
Sn 7.1811 1.4514 2.3532
Sn 7.1811 -1.4514 5.9848



Record 7
4
Lattice="-1.6508 1.8483 6.1608 1.6508 -1.8483 6.1608 1.6508 1.8483 -6.1608" Properties=species:S:1:pos:R:3 comment="ReSiAs2 | Alexandria via LeMat-Bulk | PBE-GGA | optimized geometry" e_form_raw_ev_per_atom=0.3019 rho_g_cm3=8.04 total_energy_ev_per_atom=-6.49 pbc="T T T"
Re 0.0000 0.0000 0.0000
Si 0.0000 0.0000 6.1608
As 1.6508 0.0000 4.2106
As 0.0000 1.8483 1.9502



Record 8
4
Lattice="1.5881 0.9169 11.1444 -1.5881 0.9169 11.1444 0.0000 -1.8338 11.1444" Properties=species:S:1:pos:R:3 comment="SmZr2Ta | Alexandria via LeMat-Bulk | PBE-GGA | optimized geometry" e_above_lowest_polymorph_mev_per_atom=169 rho_g_cm3=8.76 formation_energy_ev_per_fu=1.34 total_energy_ev_per_atom=-8.08 pbc="T T T"
Sm 0.0000 0.0000 0.0000
Zr 0.0000 0.0000 3.1858
Zr 0.0000 0.0000 30.2473
Ta 0.0000 0.0000 16.7166



Record 9
10
Lattice="-2.8876 2.8876 5.2324 2.8876 -2.8876 5.2324 2.8876 2.8876 -5.2324" Properties=species:S:1:pos:R:3 comment="NpTl2SeO6 | Alexandria via LeMat-Bulk | PBE-GGA | optimized geometry" e_form_raw_ev_per_atom=-1.4287 rho_g_cm3=7.81 total_energy_ev_per_atom=-6.52 pbc="T T T"
Np 0.0000 0.0000 0.0000
Tl 2.8876 0.0000 2.6162
Tl 0.0000 2.8876 2.6162
Se 0.0000 0.0000 5.2324
O 0.0000 0.0000 1.9009
O 1.5031 1.5031 0.0000
O 1.3845 -1.3845 5.2324
O -1.3845 1.3845 5.2324
O 1.3845 1.3845 5.2324
O 0.0000 0.0000 8.5639



Record 10
18
Lattice="9.3300 0.0000 0.0000 -4.6650 8.0800 0.0000 0.0000 0.0000 6.6580" Properties=species:S:1:pos:R:3 comment="Er5ThIn3 | Alexandria via LeMat-Bulk | PBE-GGA | optimized geometry" rho_g_cm3=9.35 formation_energy_ev_per_fu=-2.97 total_energy_ev_per_atom=-4.60 pbc="T T T"
Er -1.5249 2.6413 1.6645
Er -3.1401 5.4388 4.9935
Er 3.0499 0.0000 1.6645
Er 1.5249 2.6413 4.9935
Er 0.0000 5.3867 0.0000
Er 0.0000 5.3867 3.3290
Er 4.6650 2.6933 0.0000
Er 4.6650 2.6933 3.3290
Er 6.2801 0.0000 4.9935
Er 3.1401 5.4388 1.6645
Th 0.0000 0.0000 0.0000
Th 0.0000 0.0000 3.3290
In -1.6032 2.7768 4.9935
In -3.0618 5.3032 1.6645
In 3.2064 0.0000 4.9935
In 1.6032 2.7768 1.6645
In 6.1236 0.0000 1.6645
In 3.0618 5.3032 4.9935



Record 11
8
Lattice="6.3961 0.0000 0.0000 0.0000 3.6988 0.0000 -2.1358 0.0000 6.7067" Properties=species:S:1:pos:R:3 comment="TmScPa2S4 | Alexandria via LeMat-Bulk | PBE-GGA | optimized geometry" e_form_raw_ev_per_atom=-1.7316 rho_g_cm3=8.42 total_energy_ev_per_atom=-7.52 pbc="T T T"
Tm 0.0000 0.0000 0.0000
Sc 3.1980 1.8494 0.0000
Pa -1.0679 1.8494 3.3534
Pa 2.1301 0.0000 3.3534
S 1.0991 1.8494 1.5656
S 0.0316 0.0000 5.1621
S 4.2286 0.0000 1.5446
S 3.1612 1.8494 5.1411



Record 12
4
Lattice="1.5502 0.8950 8.0382 -1.5502 0.8950 8.0382 0.0000 -1.7900 8.0382" Properties=species:S:1:pos:R:3 comment="Nb2NiW | Alexandria via LeMat-Bulk | PBE-GGA | optimized geometry" rho_g_cm3=10.63 formation_energy_ev_per_fu=1.16 total_energy_ev_per_atom=-9.43 pbc="T T T"
Nb 0.0000 0.0000 5.9653
Nb 0.0000 0.0000 18.1493
Ni 0.0000 0.0000 12.0573
W 0.0000 0.0000 0.0000